No. 1
TbLuCuPt PBE optimized geometry; E_tot = -5.62 eV/atom; magnetization = 0.0000 μB/atom; ΔE_f = -797.0 meV/atom; SG = No. 216
1.0
-2.888 -3.933 -0.144
-0.064 -2.837 -3.972
1.954 -4.471 0.162
Tb Pt Cu Lu
1 1 1 1
Cartesian
0.000 0.000 0.000
-0.748 -8.431 -2.966
-0.249 -2.810 -0.989
-0.499 -5.621 -1.977

---

No. 2
LuThCuPt PBE optimized geometry; E_tot = -6.19 eV/atom; magnetization = 0.0001 μB/atom; ΔE_f = -671.4 meV/atom; SG = No. 216
1.0
4.990 0.000 0.000
2.495 4.322 0.000
2.495 1.441 4.075
Th Lu Pt Cu
1 1 1 1
Cartesian
0.000 0.000 0.000
4.990 2.881 2.037
7.486 4.322 3.056
2.495 1.441 1.019

---

No. 3
LuTiCuPt PBE optimized geometry; E_tot = -6.21 eV/atom; magnetization = 0.1794 μB/atom; ΔE_f = -572.0 meV/atom; SG = No. 216
1.0
-2.889 3.437 -1.155
-2.927 1.726 3.154
0.672 4.262 1.698
Cu Lu Pt Ti
1 1 1 1
Cartesian
-2.572 4.713 1.849
-3.858 7.069 2.773
0.000 0.000 0.000
-1.286 2.356 0.924

---

No. 4
LuZnCuPt PBE optimized geometry; E_tot = -4.59 eV/atom; magnetization = 0.0000 μB/atom; ΔE_f = -609.3 meV/atom; SG = No. 216
1.0
-1.017 4.414 0.674
-0.649 1.577 4.250
3.088 2.797 1.900
Lu Zn Cu Pt
1 1 1 1
Cartesian
0.711 4.394 3.412
0.000 0.000 0.000
0.355 2.197 1.706
1.066 6.591 5.118

---

No. 5
LuPuCu4 PBE optimized geometry; E_tot = -5.96 eV/atom; magnetization = 0.9669 μB/atom; ΔE_f = -86.4 meV/atom; SG = No. 216
1.0
5.212 0.000 0.000
2.606 4.513 0.000
2.606 1.504 4.255
Cu Pu Lu
4 1 1
Cartesian
6.521 3.765 2.662
5.212 3.009 0.524
3.902 3.765 2.662
5.212 1.497 2.662
2.606 1.504 1.064
0.000 0.000 0.000

---

No. 6
LuPuCuRh PBE optimized geometry; E_tot = -7.94 eV/atom; magnetization = 1.3707 μB/atom; ΔE_f = -364.3 meV/atom; SG = No. 216
1.0
-0.625 -3.265 3.518
-0.933 -4.615 -1.120
3.356 -3.402 0.768
Cu Lu Rh Pu
1 1 1 1
Cartesian
0.000 0.000 0.000
1.349 -8.462 2.374
0.899 -5.641 1.583
0.450 -2.821 0.791

---

> Look up the magnetization of the sixth one.

1.3707 μB/atom

---

> ΔE_f of number 4 (LuZnCuPt)?

-609.3 meV/atom

---

> Which value of E_tot does entry 1 give?

-5.62 eV/atom

---

> The highest E_tot belongs to which entry?

LuZnCuPt